Entry 1:
Hf3ZnO, PBEsol geometry, DFT meta-GGA SCAN; space-group type = Pm-3m, No. 221; ΔE_f (raw) = -1.05 eV per atom
1.0
-2.658 -3.146 1.328
3.159 -1.626 2.470
-1.296 2.487 3.296
Hf Zn O
3 1 1
direct
0.000 0.000 0.500 Hf
0.500 0.000 0.000 Hf
0.000 0.500 0.000 Hf
0.500 0.500 0.500 Zn
0.000 0.000 0.000 O

=====

Entry 2:
TmAl6Cu6, PBEsol geometry, DFT meta-GGA SCAN; energy of formation = -452 meV/atom; space-group type = Immm, No. 71
1.0
-0.986 3.837 2.999
-4.756 -1.351 4.282
3.556 -0.157 5.487
Cu Al Tm
6 6 1
direct
0.500 0.000 0.500 Cu
0.000 0.500 0.000 Cu
0.500 0.231 0.769 Cu
0.500 0.769 0.231 Cu
0.500 0.500 0.000 Cu
0.000 0.000 0.500 Cu
0.697 0.803 0.803 Al
0.000 0.345 0.655 Al
0.000 0.655 0.345 Al
0.653 0.347 0.347 Al
0.347 0.653 0.653 Al
0.303 0.197 0.197 Al
0.000 0.000 0.000 Tm

=====

Entry 3:
CuNiMo2, PBEsol geometry, DFT meta-GGA SCAN; energy of formation = 161 meV/atom; space-group type = Cmmm, No. 65
1.0
-2.502 0.530 -0.365
0.094 -1.126 -2.323
-1.917 -6.829 3.231
Mo Cu Ni
2 1 1
direct
0.000 0.000 0.257 Mo
0.000 0.000 0.743 Mo
0.500 0.500 0.000 Cu
0.500 0.500 0.500 Ni

=====

Entry 4:
Li2Mn3NbO8, PBEsol geometry, DFT meta-GGA SCAN; space-group type = P31c, No. 159; ΔE_f (raw) = -2.38 eV per atom
1.0
-4.173 1.579 3.876
4.114 -3.956 1.536
5.666 7.134 3.191
Mn Li O Nb
6 4 16 2
direct
0.163 0.824 0.284 Mn
0.176 0.339 0.284 Mn
0.339 0.176 0.784 Mn
0.837 0.661 0.785 Mn
0.661 0.837 0.285 Mn
0.824 0.163 0.784 Mn
0.000 0.000 0.012 Li
0.333 0.667 0.596 Li
0.667 0.333 0.096 Li
0.000 0.000 0.512 Li
0.333 0.667 0.380 O
0.000 0.000 0.202 O
0.204 0.333 0.911 O
0.000 0.000 0.702 O
0.667 0.871 0.911 O
0.667 0.333 0.880 O
0.035 0.476 0.154 O
0.440 0.965 0.154 O
0.129 0.796 0.911 O
0.796 0.129 0.411 O
0.333 0.204 0.411 O
0.524 0.560 0.154 O
0.560 0.524 0.654 O
0.476 0.035 0.654 O
0.871 0.667 0.411 O
0.965 0.440 0.654 O
0.667 0.334 0.508 Nb
0.334 0.667 0.008 Nb

=====

> Which formula does entry 3 have?

CuNiMo2